Entry 1:
Here is an optimized crystal structure of NpFeGeRu from the Alexandria database. Energies are from PBE.

a b c (Å): 4.4876 4.4876 4.4876
angles (deg): 60.00 60.00 60.00
With the nearest neighbours (Å) after each atom.
Fractional coordinates of all 4 atoms:
Np  0.0000  0.0000  0.0000  4 Fe 2.75, 4 Ru 2.75
Fe  0.7500  0.7500  0.7500  4 Ge 2.75, 4 Np 2.75
Ge  0.5000  0.5000  0.5000  4 Fe 2.75, 4 Ru 2.75
Ru  0.2500  0.2500  0.2500  4 Ge 2.75, 4 Np 2.75

Values from the calculation:
The value obtained for the size of the total moment is 1.914 μB per cell. The symmetry is No. 216. Its formation enthalpy at 0 K is -85 meV/atom.

---

Entry 2:
Here is an optimized crystal structure of NpFeGe2Ru from the Alexandria database. Energies are from PBE.

a b c (Å): 5.8668 5.8668 5.8668
angles (deg): 139.21 139.21 59.05
With the nearest neighbours (Å) after each atom.
Fractional coordinates of all 5 atoms:
Np  0.0000  0.0000  0.0000  8 Ge 3.16, 4 Fe 3.27, 4 Ru 3.27
Fe  0.7500  0.2500  0.5000  4 Ge 2.41
Ge  0.3755  0.3755  0.0000  2 Fe 2.41, 2 Ru 2.41, 1 Ge 2.54
Ge  0.6245  0.6245  0.0000  2 Fe 2.41, 2 Ru 2.41, 1 Ge 2.54
Ru  0.2500  0.7500  0.5000  4 Ge 2.41

Values from the calculation:
The value obtained for the size of the total moment is 2.727 μB per cell. The symmetry is No. 119. Its formation enthalpy at 0 K is -223 meV/atom.

---

Entry 3:
Here is an optimized crystal structure of Np2Fe5Si2Ge from the Alexandria database. Energies are from PBE.

a b c (Å): 9.8274 9.8274 2.8719
angles (deg): 90.00 90.00 90.00
With the nearest neighbours (Å) after each atom.
Fractional coordinates of all 20 atoms:
Np  0.1758  0.3242  0.0000  3 Si 2.73-3.02, 6 Fe 2.82-2.83, 2 Np 2.87
Np  0.3242  0.8242  0.0000  3 Si 2.73-3.02, 6 Fe 2.82-2.83, 2 Np 2.87
Np  0.6758  0.1758  0.0000  3 Si 2.73-3.02, 6 Fe 2.82-2.83, 2 Np 2.87
Np  0.8242  0.6758  0.0000  3 Si 2.73-3.02, 6 Fe 2.82-2.83, 2 Np 2.87
Fe  0.0000  0.5000  0.5000  4 Si 2.28
Fe  0.0406  0.7956  0.5000  2 Si 2.35, 2 Ge 2.50
Fe  0.2044  0.0406  0.5000  2 Si 2.35, 2 Ge 2.50
Fe  0.2956  0.5406  0.5000  2 Si 2.35, 2 Ge 2.50
Fe  0.4594  0.2956  0.5000  2 Si 2.35, 2 Ge 2.50
Fe  0.5000  0.0000  0.5000  4 Si 2.28
Fe  0.5406  0.7044  0.5000  2 Si 2.35, 2 Ge 2.50
Fe  0.7044  0.4594  0.5000  2 Si 2.35, 2 Ge 2.50
Fe  0.7956  0.9594  0.5000  2 Si 2.35, 2 Ge 2.50
Fe  0.9594  0.2044  0.5000  2 Si 2.35, 2 Ge 2.50
Si  0.1278  0.6278  0.0000  6 Fe 2.28-2.35
Si  0.3722  0.1278  0.0000  6 Fe 2.28-2.35
Si  0.6278  0.8722  0.0000  6 Fe 2.28-2.35
Si  0.8722  0.3722  0.0000  6 Fe 2.28-2.35
Ge  0.0000  0.0000  0.0000  8 Fe 2.50
Ge  0.5000  0.5000  0.0000  8 Fe 2.50

Values from the calculation:
The value obtained for the size of the total moment is 7.396 μB per cell. The symmetry is No. 127. The calculation puts the energy relative to the elements, uncorrected at -0.11 eV/atom.

---

Entry 4:
Here is an optimized crystal structure of NpFeTcGe2 from the Alexandria database. Energies are from PBE.

a b c (Å): 6.1363 6.1363 6.1363
angles (deg): 141.99 141.99 54.84
With the nearest neighbours (Å) after each atom.
Fractional coordinates of all 5 atoms:
Np  0.0000  0.0000  0.0000  8 Ge 3.10, 4 Fe 3.38, 4 Tc 3.38
Fe  0.2500  0.7500  0.5000  4 Ge 2.47
Tc  0.7500  0.2500  0.5000  4 Ge 2.47
Ge  0.3825  0.3825  0.0000  2 Fe 2.47, 2 Tc 2.47, 1 Ge 2.56
Ge  0.6175  0.6175  0.0000  2 Fe 2.47, 2 Tc 2.47, 1 Ge 2.56

Values from the calculation:
The value obtained for the size of the total moment is 6.322 μB per cell. The symmetry is No. 119. Its formation enthalpy at 0 K is -118 meV/atom.

---

Entry 5:
Here is an optimized crystal structure of NpFeTcGe from the Alexandria database. Energies are from PBE.

a b c (Å): 4.4721 4.4721 4.4721
angles (deg): 60.00 60.00 60.00
With the nearest neighbours (Å) after each atom.
Fractional coordinates of all 4 atoms:
Np  0.0000  0.0000  0.0000  4 Tc 2.74, 4 Fe 2.74
Fe  0.2500  0.2500  0.2500  4 Ge 2.74, 4 Np 2.74
Tc  0.7500  0.7500  0.7500  4 Ge 2.74, 4 Np 2.74
Ge  0.5000  0.5000  0.5000  4 Tc 2.74, 4 Fe 2.74

Values from the calculation:
The value obtained for the size of the total moment is 2.033 μB per cell. The symmetry is No. 216. Its formation enthalpy at 0 K is -24 meV/atom.